No. 1
Material: ZnGePRh
Method: DFT, GGA-PBE
State: optimized geometry

The structure in POSCAR format:
```
ZnGePRh
1.0
3.252 0.000 0.000
-1.623 2.824 0.000
-0.003 -1.855 7.537
Zn Ge P Rh
1 1 1 1
direct
0.000 0.000 0.000
0.747 0.498 0.248
0.893 0.790 0.687
0.504 0.012 0.516
```

E: -0.3558 Ry/atom
space group: No. 1
Fermi-level density of states: 1.1 states/eV per cell
calculated volume: 69.2 Å³/cell
formation energy: -178 meV per atom
total magnetization: 0.000 μB/atom
polymorph energy (0 for the lowest one): 4.6 kJ per mole of atoms

No. 2
Material: ZnGePRh
Method: DFT, GGA-PBE
State: optimized geometry

The structure in POSCAR format:
```
ZnGePRh
1.0
12.168 0.000 0.000
0.000 2.832 0.000
-1.469 0.000 3.973
Zn Ge P Rh
2 2 2 2
direct
0.000 0.000 0.000
0.500 0.500 0.000
0.186 0.500 0.686
0.686 0.000 0.686
0.303 0.500 0.303
0.803 0.000 0.303
0.462 0.000 0.463
0.962 0.500 0.463
```

E: -0.3593 Ry/atom
space group: No. 8
Fermi-level density of states: 2.9 states/eV per cell
calculated volume: 136.9 Å³/cell
formation energy: -226 meV per atom
total magnetization: 0.000 μB/atom
polymorph energy (0 for the lowest one): 0.0 kJ per mole of atoms

No. 3
Material: GeP3Ru
Method: DFT, GGA-PBE
State: optimized geometry

The structure in POSCAR format:
```
GeP3Ru
1.0
4.599 0.000 0.000
0.000 4.599 0.000
0.000 0.000 4.599
Ge P Ru
1 3 1
direct
0.000 0.000 0.000
0.000 0.500 0.500
0.500 0.000 0.500
0.500 0.500 0.000
0.500 0.500 0.500
```

E: -0.3923 Ry/atom
space group: No. 221
Fermi-level density of states: 5.8 states/eV per cell
calculated volume: 97.3 Å³/cell
formation energy: 687 meV per atom
total magnetization: 0.000 μB/atom
polymorph energy (0 for the lowest one): 0.0 kJ per mole of atoms

No. 4
Material: GePRu2
Method: DFT, GGA-PBE
State: optimized geometry

The structure in POSCAR format:
```
GePRu2
1.0
6.310 0.000 0.000
0.000 6.323 0.000
-0.004 0.000 5.742
Ge P Ru
4 4 8
direct
0.123 0.067 0.312
0.123 0.433 0.812
0.877 0.567 0.188
0.877 0.933 0.688
0.372 0.553 0.194
0.372 0.947 0.694
0.628 0.053 0.306
0.628 0.447 0.806
0.149 0.698 0.489
0.149 0.802 0.989
0.401 0.206 0.009
0.401 0.294 0.509
0.599 0.706 0.491
0.599 0.794 0.991
0.851 0.198 0.011
0.851 0.302 0.511
```

E: -0.5582 Ry/atom
space group: No. 14
Fermi-level density of states: 8.0 states/eV per cell
calculated volume: 229.1 Å³/cell
formation energy: -449 meV per atom
total magnetization: 0.000 μB/atom
polymorph energy (0 for the lowest one): 0.0 kJ per mole of atoms

No. 5
Material: GePRu2
Method: DFT, GGA-PBE
State: optimized geometry

The structure in POSCAR format:
```
GePRu2
1.0
6.008 0.000 0.000
0.000 6.008 0.000
0.000 0.000 6.008
Ge P Ru
4 4 8
direct
0.000 0.000 0.000
0.000 0.500 0.500
0.500 0.000 0.500
0.500 0.500 0.000
0.000 0.000 0.500
0.000 0.500 0.000
0.500 0.000 0.000
0.500 0.500 0.500
0.250 0.250 0.250
0.250 0.250 0.750
0.250 0.750 0.250
0.250 0.750 0.750
0.750 0.250 0.250
0.750 0.250 0.750
0.750 0.750 0.250
0.750 0.750 0.750
```

E: -0.5382 Ry/atom
space group: No. 225
Fermi-level density of states: 9.4 states/eV per cell
calculated volume: 216.9 Å³/cell
formation energy: -178 meV per atom
total magnetization: 0.000 μB/atom
polymorph energy (0 for the lowest one): 26.2 kJ per mole of atoms

No. 6
Material: GePRu2
Method: DFT, GGA-PBE
State: optimized geometry

The structure in POSCAR format:
```
GePRu2
1.0
2.937 0.000 0.000
0.000 2.937 0.000
0.000 0.000 6.243
Ge P Ru
1 1 2
direct
0.000 0.000 0.000
0.000 0.000 0.500
0.500 0.500 0.273
0.500 0.500 0.727
```

E: -0.5426 Ry/atom
space group: No. 123
Fermi-level density of states: 1.6 states/eV per cell
calculated volume: 53.9 Å³/cell
formation energy: -238 meV per atom
total magnetization: 0.000 μB/atom
polymorph energy (0 for the lowest one): 20.4 kJ per mole of atoms

- Which value of E does entry 1 give?
  -0.3558 Ry/atom